Compound: Cu2OsIF
Source: Alexandria
Functional: PBE
Structure: relaxed

For the density, the calculation gives 7.333 g cm⁻³. The magnetic moment is 3.0 μB per cell. For the density of states at the Fermi level, the calculation gives 2.5 states/eV/f.u. For the uncorrected formation energy, the calculation gives 668 kJ/mol of formula units. Its crystal system is tetragonal. Its total energy is -3.183 eV per atom. Its volume is 104.9 Å³/cell.

The space group is P4/mmm (No. 123) and the conventional cell measures 4.883, 4.883 and 4.399 Å, with angles of 90.00, 90.00 and 90.00 degrees. The inequivalent atoms are Cu at (0.000, 0.500, 0.000), Os at (0.000, 0.000, 0.500), I at (0.500, 0.500, 0.000) and F at (0.500, 0.500, 0.500).